1.
This record from the Alexandria database describes a geometry-optimized Ca2LaPd2 structure. The functional is PBE.

Summary:
calculated density = 5.001 g/cm³
energy of formation = -600 meV/atom
energy = -0.3281 Ry per atom

a = 5.806 Å, b = 4.508 Å, c = 11.022 Å
α = 90.00°, β = 96.24°, γ = 90.00°
Sites, in units of the cell vectors:
Ca1 0.112 0.250 0.380
Ca2 0.247 0.250 0.037
Ca3 0.753 0.750 0.963
Ca4 0.888 0.750 0.620
La1 0.398 0.250 0.711
La2 0.602 0.750 0.289
Pd1 0.237 0.750 0.855
Pd2 0.360 0.750 0.528
Pd3 0.640 0.250 0.472
Pd4 0.763 0.250 0.145

2.
This record from the Alexandria database describes a geometry-optimized ThAu6 structure. The functional is PBE.

Summary:
calculated density = 11.863 g/cm³
energy of formation = 561 meV/atom
energy = -0.2432 Ry per atom

a = 6.359 Å, b = 6.359 Å, c = 6.359 Å
α = 109.47°, β = 109.47°, γ = 109.47°
Sites, in units of the cell vectors:
Th1 0.000 0.000 0.000
Au1 0.250 0.500 0.750
Au2 0.250 0.750 0.500
Au3 0.500 0.250 0.750
Au4 0.500 0.750 0.250
Au5 0.750 0.250 0.500
Au6 0.750 0.500 0.250

3.
This record from the Alexandria database describes a geometry-optimized Be2VInSe structure. The functional is PBE.

Summary:
calculated density = 3.898 g/cm³
formation energy without anion corrections = 1.40 eV/atom
energy = -0.2320 Ry per atom

a = 4.344 Å, b = 4.344 Å, c = 5.930 Å
α = 90.00°, β = 90.00°, γ = 90.00°
Sites, in units of the cell vectors:
Be1 0.000 0.500 0.000
Be2 0.500 0.000 0.000
V1 0.000 0.000 0.500
In1 0.500 0.500 0.000
Se1 0.500 0.500 0.500

4.
This record from the Alexandria database describes a geometry-optimized SiAgP2 structure. The functional is PBE.

Summary:
calculated density = 4.892 g/cm³
formation energy without anion corrections = 0.61 eV/atom
energy = -0.3059 Ry per atom

a = 3.601 Å, b = 3.650 Å, c = 5.112 Å
α = 90.00°, β = 90.00°, γ = 90.00°
Sites, in units of the cell vectors:
Si1 0.000 0.000 0.000
Ag1 0.000 0.500 0.500
P1 0.500 0.000 0.500
P2 0.500 0.500 0.000

5.
This record from the Alexandria database describes a geometry-optimized Cr2OsRu structure. The functional is PBE.

Summary:
calculated density = 12.415 g/cm³
energy of formation = 196 meV/atom
energy = -0.7160 Ry per atom

a = 8.737 Å, b = 8.737 Å, c = 8.737 Å
α = 17.54°, β = 17.54°, γ = 17.54°
Sites, in units of the cell vectors:
Cr1 0.000 0.000 0.000
Cr2 0.252 0.252 0.252
Os1 0.746 0.746 0.746
Ru1 0.507 0.507 0.507

6.
This record from the Alexandria database describes a geometry-optimized YCrCl3 structure. The functional is PBE.

Summary:
calculated density = 3.398 g/cm³
formation energy without anion corrections = -0.65 eV/atom
energy = -0.3659 Ry per atom

a = 4.944 Å, b = 4.944 Å, c = 4.944 Å
α = 90.00°, β = 90.00°, γ = 90.00°
Sites, in units of the cell vectors:
Y1 0.000 0.000 0.000
Cr1 0.500 0.500 0.500
Cl1 0.000 0.500 0.500
Cl2 0.500 0.000 0.500
Cl3 0.500 0.500 0.000